The following is a DFT calculation (GGA+U) of a geometry-optimized Rb3Dy3WO8 structure.

Structure (CIF):
```
data_Rb3Dy3WO8
_space_group_name_H-M_alt 'C 1 2/m 1'
_space_group_IT_number 12
_space_group_name_Hall '-C 2y'
_cell_length_a 11.854
_cell_length_b 6.889
_cell_length_c 7.699
_cell_angle_alpha 90.00
_cell_angle_beta 120.92
_cell_angle_gamma 90.00
loop_
_atom_site_label
_atom_site_fract_x
_atom_site_fract_y
_atom_site_fract_z
_atom_site_occupancy
Rb1 0.000 0.000 0.000 1
Rb2 0.250 0.250 0.000 1
Dy1 0.000 0.500 0.500 1
Dy2 0.250 0.250 0.500 1
W1 0.000 0.000 0.500 1
O1 0.023 0.235 0.336 1
O2 0.208 0.000 0.664 1
O3 0.225 0.500 0.671 1
```

Output
Magnetic moment (μB per cell): 4.00
Uncorrected energy (eV/atom): -6.82